Entry 1:
CuSnOs: optimized geometry, PBE-GGA.

```
CuSnOs
1.0
4.489 0.000 0.000
0.000 4.346 0.000
0.000 0.000 2.916
Sn Cu Os
1 1 1
Direct
0.000 0.000 0.000
0.500 0.500 0.000
0.500 0.000 0.500
```

calculated volume: 19.0 A^3/atom
uncorrected energy: -18.158 eV per cell
total magnetization: 0.0 μB per cell
formation energy from the elements: 0.390 eV/atom
energy above the most stable polymorph in this dataset: 0.00 eV per formula unit

=====

Entry 2:
CuSn3Os: optimized geometry, PBE-GGA.

```
CuSn3Os
1.0
5.141 0.000 0.000
0.000 5.141 0.000
0.000 0.000 5.141
Sn Os Cu
3 1 1
Direct
0.000 0.000 0.500
0.500 0.000 0.000
0.000 0.500 0.000
0.000 0.000 0.000
0.500 0.500 0.500
```

calculated volume: 27.2 A^3/atom
uncorrected energy: -24.556 eV per cell
total magnetization: 0.0 μB per cell
formation energy from the elements: 0.556 eV/atom
energy above the most stable polymorph in this dataset: 0.00 eV per formula unit

=====

Entry 3:
SrCuSnOs2: optimized geometry, PBE-GGA.

```
SrCuSnOs2
1.0
4.928 0.000 0.000
0.000 5.845 0.000
0.000 0.000 4.928
Cu Sn Sr Os
1 1 1 2
Direct
0.500 0.500 0.500
0.000 0.000 0.000
0.000 0.500 0.000
0.000 0.000 0.500
0.500 0.000 0.000
```

calculated volume: 28.4 A^3/atom
uncorrected energy: -22.990 eV per cell
total magnetization: 1.8 μB per cell
formation energy from the elements: 1.850 eV/atom